A PBEsol-optimized structure of Te2PtN. Source: the Alexandria database, functional meta-GGA SCAN.

The crystal system is tetragonal. Its formation energy from raw total energies is 0.47 eV/atom.

It has space group I-42d (No. 122), with a = 5.457 Å, b = 5.457 Å, c = 11.756 Å, α = 90.00°, β = 90.00° and γ = 90.00°. Symmetry generates all atoms from Te at (0.209, 0.250, 0.125), Pt at (0.000, 0.000, 0.500) and N at (0.000, 0.000, 0.000).

***

A PBEsol-optimized structure of BaTaCd2. Source: the Alexandria database, functional meta-GGA SCAN.

As for the formation energy: 0.67 eV/atom. The value obtained for the energy above the most stable polymorph in this dataset is 0.372 eV/atom. The crystal system is cubic.

It has space group Fm-3m (No. 225), with a = 7.444 Å, b = 7.444 Å, c = 7.444 Å, α = 90.00°, β = 90.00° and γ = 90.00°. Symmetry generates all atoms from Ba at (0.000, 0.000, 0.000), Ta at (0.000, 0.000, 0.500) and Cd at (0.250, 0.250, 0.250).